# 1
This record from Alexandria describes a crystal of Sc2AsBr relaxed with PBEsol. The functional is meta-GGA SCAN.

abc: 3.3764 3.3764 6.9341
angles: 90.00 90.00 90.00
Fractional positions:
Sc (0.0000, 0.0000, 0.2156)
Sc (0.0000, 0.0000, 0.7844)
As (0.5000, 0.5000, 0.0000)
Br (0.5000, 0.5000, 0.5000)

Calculated values
* space group: No. 123
* energy relative to the elements, uncorrected: -1.04 eV/atom



# 2
This record from Alexandria describes a crystal of LaAg2 relaxed with PBEsol. The functional is meta-GGA SCAN.

abc: 4.7732 7.1532 8.1355
angles: 90.00 90.00 90.00
Fractional positions:
La (0.0000, 0.2500, 0.0359)
La (0.0000, 0.7500, 0.9641)
La (0.5000, 0.2500, 0.4641)
La (0.5000, 0.7500, 0.5359)
Ag (0.0000, 0.0431, 0.6654)
Ag (0.0000, 0.4569, 0.6654)
Ag (0.0000, 0.5431, 0.3346)
Ag (0.0000, 0.9569, 0.3346)
Ag (0.5000, 0.0431, 0.8346)
Ag (0.5000, 0.4569, 0.8346)
Ag (0.5000, 0.5431, 0.1654)
Ag (0.5000, 0.9569, 0.1654)

Calculated values
* space group: No. 74



# 3
This record from Alexandria describes a crystal of YSiIr2 relaxed with PBEsol. The functional is meta-GGA SCAN.

abc: 3.5568 4.1042 8.8690
angles: 90.00 90.00 90.00
Fractional positions:
Y (0.0000, 0.0000, 0.0000)
Y (0.5000, 0.5000, 0.5000)
Si (0.0000, 0.5000, 0.2322)
Si (0.5000, 0.0000, 0.7322)
Ir (0.0000, 0.0000, 0.5256)
Ir (0.0000, 0.5000, 0.7631)
Ir (0.5000, 0.0000, 0.2631)
Ir (0.5000, 0.5000, 0.0256)

Calculated values
* space group: No. 44
* energy relative to the elements, uncorrected: -0.47 eV/atom



| no. | N(E_F) (states/eV per cell) | raw total energy (eV per atom) |
| --- | --- | --- |
| 1 | 1.23 | -18.068 |
| 2 | 8.60 | -35.619 |
| 3 | 2.93 | -45.489 |